# 1
Here is crystalline CoTcHgMo2 at its relaxed geometry from Alexandria via LeMat-Bulk. Energies are from PBE.

Calculated volume in Å³/f.u.: 99
Magnetization in μB/cell: 1.1
Total DFT energy (no corrections) in eV/cell: -32.13
ΔE_f in kJ/mol of atoms: 141.0

Cell lengths 4.7047, 4.7047, 4.4739 Å; angles 90.00, 90.00, 90.00 degrees
Space group P4/mmm (No. 123)
Unique sites:
Co  0.0000  0.0000  0.0000
Tc  0.0000  0.0000  0.5000
Hg  0.5000  0.5000  0.0000
Mo  0.0000  0.5000  0.5000

# 2
Here is crystalline SmCuPd2 at its relaxed geometry from Alexandria via LeMat-Bulk. Energies are from PBE.

Calculated volume in Å³/f.u.: 79
Magnetization in μB/cell: 0.0
Total DFT energy (no corrections) in eV/cell: -81.91
ΔE_f in kJ/mol of atoms: -30.8

Cell lengths 5.2584, 3.5207, 17.0667 Å; angles 90.00, 90.00, 90.00 degrees
Space group Pnna (No. 52)
Unique sites:
Sm  0.2500  0.0000  0.1148
Cu  0.2500  0.0000  0.6294
Pd  0.0000  0.0000  0.5000
Pd  0.0189  0.2500  0.7500

# 3
Here is crystalline ReSbAu2 at its relaxed geometry from Alexandria via LeMat-Bulk. Energies are from PBE.

Calculated volume in Å³/f.u.: 75
Magnetization in μB/cell: 0.0
Total DFT energy (no corrections) in eV/cell: -20.41
E_form (uncorrected) in eV per atom: 0.68

Cell lengths 5.0979, 5.0979, 2.8984 Å; angles 90.00, 90.00, 90.00 degrees
Space group P4/mmm (No. 123)
Unique sites:
Re  0.0000  0.0000  0.0000
Sb  0.5000  0.5000  0.0000
Au  0.0000  0.5000  0.5000

# 4
Here is crystalline CsK2GaAs2 at its relaxed geometry from Alexandria via LeMat-Bulk. Energies are from PBE.

Calculated volume in Å³/f.u.: 213
Magnetization in μB/cell: 0.0
Total DFT energy (no corrections) in eV/cell: -71.83
ΔE_f in kJ/mol of atoms: -41.5

Cell lengths 8.8371, 13.6086, 7.0811 Å; angles 90.00, 90.00, 90.00 degrees
Space group Ibam (No. 72)
Unique sites:
Cs  0.0000  0.0000  0.2500
K  0.1736  0.3177  0.0000
Ga  0.0000  0.5000  0.2500
As  0.1658  0.4101  0.5000

# 5
Here is crystalline GdTlAg at its relaxed geometry from Alexandria via LeMat-Bulk. Energies are from PBE.

Calculated volume in Å³/f.u.: 73
Magnetization in μB/cell: 7.4
Total DFT energy (no corrections) in eV/cell: -20.23
ΔE_f in kJ/mol of atoms: -29.9

Cell lengths 4.9655, 4.9655, 3.4351 Å; angles 90.00, 90.00, 120.00 degrees
Space group P-6m2 (No. 187)
Unique sites:
Gd  0.0000  0.0000  0.0000
Tl  0.3333  0.6667  0.5000
Ag  0.6667  0.3333  0.5000

# 6
Here is crystalline Mn2BePt at its relaxed geometry from Alexandria via LeMat-Bulk. Energies are from PBE.

Calculated volume in Å³/f.u.: 51
Magnetization in μB/cell: 13.0
Total DFT energy (no corrections) in eV/cell: -57.03
ΔE_f in kJ/mol of atoms: -9.8

Cell lengths 8.7969, 2.8051, 4.3899 Å; angles 90.00, 108.78, 90.00 degrees
Space group Cm (No. 8)
Unique sites:
Mn  0.0000  0.0000  0.0000
Mn  0.2353  0.0000  0.7604
Be  0.4974  0.0000  0.5052
Pt  0.2704  0.5000  0.2942

# 7
Here is crystalline Zn2Ga2Pb at its relaxed geometry from Alexandria via LeMat-Bulk. Energies are from PBE.

Calculated volume in Å³/f.u.: 102
Magnetization in μB/cell: 0.0
Total DFT energy (no corrections) in eV/cell: -23.49
ΔE_f in kJ/mol of atoms: 10.9

Cell lengths 7.9251, 7.9251, 3.2476 Å; angles 90.00, 90.00, 90.00 degrees
Space group P4/mbm (No. 127)
Unique sites:
Zn  0.1719  0.3281  0.0000
Ga  0.1235  0.6235  0.5000
Pb  0.0000  0.0000  0.5000

# 8
Here is crystalline CaCe3As4 at its relaxed geometry from Alexandria via LeMat-Bulk. Energies are from PBE.

Calculated volume in Å³/f.u.: 214
Magnetization in μB/cell: 3.7
Total DFT energy (no corrections) in eV/cell: -98.55
ΔE_f in kJ/mol of atoms: -131.1

Cell lengths 8.4545, 11.9528, 4.2399 Å; angles 90.00, 90.00, 90.00 degrees
Space group Cmmm (No. 65)
Unique sites:
Ca  0.0000  0.0000  0.0000
Ce  0.0000  0.5000  0.0000
Ce  0.2500  0.2500  0.5000
As  0.0000  0.2526  0.0000
As  0.2427  0.5000  0.5000

# 9
Here is crystalline MgZrW at its relaxed geometry from Alexandria via LeMat-Bulk. Energies are from PBE.

Calculated volume in Å³/f.u.: 63
Magnetization in μB/cell: 0.0
Total DFT energy (no corrections) in eV/cell: -130.21
ΔE_f in kJ/mol of atoms: 44.9

Cell lengths 3.0639, 3.0639, 46.7359 Å; angles 90.00, 90.00, 120.00 degrees
Space group R-3m (No. 166, hexagonal axes)
Unique sites:
Mg  0.0000  0.0000  0.1378
Zr  0.0000  0.0000  0.2521
W  0.0000  0.0000  0.3136

# 10
Here is crystalline Pm3ErPb4 at its relaxed geometry from Alexandria via LeMat-Bulk. Energies are from PBE.

Calculated volume in Å³/f.u.: 238
Magnetization in μB/cell: 0.0
Total DFT energy (no corrections) in eV/cell: -74.81
ΔE_f in kJ/mol of atoms: -45.3

Cell lengths 11.2410, 6.5128, 6.5146 Å; angles 90.00, 90.00, 90.00 degrees
Space group Pmn2_1 (No. 31)
Unique sites:
Pm  0.0000  0.0000  0.0000
Pm  0.2499  0.2511  0.2499
Er  0.0000  0.5004  0.4998
Pb  0.0000  0.0001  0.5000
Pb  0.0000  0.5001  0.9999
Pb  0.2498  0.2497  0.7499

# 11
Here is crystalline K4TeO4 at its relaxed geometry from Alexandria via LeMat-Bulk. Energies are from PBE.

Calculated volume in Å³/f.u.: 190
Magnetization in μB/cell: 2.7
Total DFT energy (no corrections) in eV/cell: -76.67
E_form (uncorrected) in eV per atom: -1.22

Cell lengths 8.3897, 8.3897, 5.3903 Å; angles 90.00, 90.00, 90.00 degrees
Space group I4/m (No. 87)
Unique sites:
K  0.1072  0.3002  0.0000
Te  0.0000  0.0000  0.5000
O  0.0731  0.2340  0.5000

# 12
Here is crystalline Te2IrAu at its relaxed geometry from Alexandria via LeMat-Bulk. Energies are from PBE.

Calculated volume in Å³/f.u.: 114
Magnetization in μB/cell: 0.0
Total DFT energy (no corrections) in eV/cell: -71.83
E_form (uncorrected) in eV per atom: 0.12

Cell lengths 6.2878, 6.2878, 11.5620 Å; angles 90.00, 90.00, 90.00 degrees
Space group I-42d (No. 122)
Unique sites:
Te  0.2223  0.2500  0.1250
Ir  0.0000  0.0000  0.0000
Au  0.0000  0.0000  0.5000